# 1
Here is an optimized crystal structure of InAg6 from Alexandria via LeMat-Bulk. Energies are from PBE.

Results
Its energy above the most stable polymorph in this dataset is 0.0000 eV/atom.

CIF file:
```
data_InAg6
_chemical_formula_sum 'In3 Ag18'
_cell_length_a 12.4295
_cell_length_b 12.4295
_cell_length_c 2.9448
_cell_angle_alpha 90.00
_cell_angle_beta 90.00
_cell_angle_gamma 120.00
_space_group_name_H-M_alt 'R -3'
_space_group_IT_number 148
_space_group_name_Hall '-R 3'
loop_
_atom_site_label
_atom_site_type_symbol
_atom_site_fract_x
_atom_site_fract_y
_atom_site_fract_z
_atom_site_occupancy
In1 In 0.0000 0.0000 0.0000 1
Ag1 Ag 0.0501 0.2417 0.6522 1
```

# 2
Here is an optimized crystal structure of CdRe2I from Alexandria via LeMat-Bulk. Energies are from PBE.

Results
Its energy above the most stable polymorph in this dataset is 0.0000 eV/atom. Its energy relative to the elements, uncorrected is 1.43 eV per atom.

CIF file:
```
data_CdRe2I
_chemical_formula_sum 'Cd4 Re8 I4'
_cell_length_a 4.2662
_cell_length_b 4.2662
_cell_length_c 19.2273
_cell_angle_alpha 90.00
_cell_angle_beta 90.00
_cell_angle_gamma 90.00
_space_group_name_H-M_alt 'I -4 2 d'
_space_group_IT_number 122
_space_group_name_Hall 'I -4 2bw'
loop_
_atom_site_label
_atom_site_type_symbol
_atom_site_fract_x
_atom_site_fract_y
_atom_site_fract_z
_atom_site_occupancy
Cd1 Cd 0.0000 0.0000 0.0000 1
Re1 Re 0.1589 0.2500 0.6250 1
I1 I 0.0000 0.0000 0.5000 1
```

Electronic total energy / eV/cell: -58.796 -86.531